Entry i
TcRhCl3 GGA-PBEsol optimized geometry; space group = No. 221
1.0
4.6936 0.0000 0.0000
0.0000 4.6936 0.0000
0.0000 0.0000 4.6936
Tc Rh Cl
1 1 3
Cartesian
0.0000 0.0000 0.0000
2.3468 2.3468 2.3468
0.0000 0.0000 2.3468
0.0000 2.3468 0.0000
2.3468 0.0000 0.0000

=====

Entry ii
TcRhCl3 GGA-PBEsol optimized geometry; space group = No. 221
1.0
4.6861 0.0000 0.0000
0.0000 4.6861 0.0000
0.0000 0.0000 4.6861
Tc Rh Cl
1 1 3
Cartesian
0.0000 0.0000 0.0000
2.3431 2.3431 2.3431
0.0000 2.3431 2.3431
2.3431 0.0000 2.3431
2.3431 2.3431 0.0000

=====

Most stable: entry ii (next structure +6.1 kJ/mol of atoms)

=====

Entry i
YRhCl2 GGA-PBEsol optimized geometry; space group = No. 65
1.0
2.9762 -3.1748 0.0000
2.9762 3.1748 0.0000
0.0000 0.0000 4.1484
Y Rh Cl
1 1 2
Cartesian
0.0000 0.0000 0.0000
2.9762 0.0000 0.0000
2.9762 1.4607 2.0742
2.9762 -1.4607 2.0742

=====

Entry ii
YRhCl2 GGA-PBEsol optimized geometry; space group = No. 8
1.0
4.9967 -1.7428 0.0000
4.9967 1.7428 0.0000
-0.7866 0.0000 5.0997
Y Rh Cl
1 1 2
Cartesian
0.0000 0.0000 0.0000
6.2518 0.0000 1.4338
2.7932 0.0000 0.0266
4.5493 0.0000 2.9646

=====

Most stable: entry ii (next structure +19.1 kJ/mol of atoms)